Computed, not measured: an optimized crystal structure of SrTlTcCl2 at the PBE level of DFT.

Geometry as POSCAR:
```
SrTlTcCl2
1.0
5.490 0.000 0.000
0.000 6.703 0.000
0.000 0.000 5.490
Sr Tl Tc Cl
1 1 1 2
Cartesian
0.000 0.000 0.000 Sr
2.745 3.352 2.745 Tl
0.000 3.352 0.000 Tc
0.000 0.000 2.745 Cl
2.745 0.000 0.000 Cl
```

Values from the calculation:
raw total energy	-18.501	eV/cell